KSc2CoTc | Alexandria via LeMat-Bulk | PBE | optimized geometry; DFT total energy = -4.427 eV/atom; D(E_F) = 6.27 states/eV/cell; ΔH_f (0 K) = 1.820 eV per atom
1.0
4.824 0.000 0.000
0.000 4.824 0.000
0.000 0.000 3.998
K Sc Co Tc
1 2 1 1
Direct
0.000 0.000 0.000 K
0.000 0.500 0.000 Sc
0.500 0.000 0.000 Sc
0.000 0.000 0.500 Co
0.500 0.500 0.500 Tc